Entry from the Alexandria database: a relaxed structure of CsNbRh3 (PBE-GGA).

abc: 4.8737 4.8737 4.8737
angles: 90.00 90.00 90.00
Closest atoms and distances in Å follow each position.
Fractional positions:
Cs  0.0000  0.0000  0.0000  6 Rh 2.44
Nb  0.5000  0.5000  0.5000  12 Rh 3.45
Rh  0.0000  0.0000  0.5000  2 Cs 2.44
Rh  0.0000  0.5000  0.0000  2 Cs 2.44
Rh  0.5000  0.0000  0.0000  2 Cs 2.44

Computed properties:
Formation energy from the elements, eV/atom: 2.276
N(E_F), states/eV/cell: 5.80

Entry from the Alexandria database: a relaxed structure of KMn3S (PBE-GGA).

abc: 4.9228 4.9228 4.9228
angles: 90.00 90.00 90.00
Closest atoms and distances in Å follow each position.
Fractional positions:
K  0.0000  0.0000  0.0000  6 Mn 2.46
Mn  0.0000  0.0000  0.5000  2 K 2.46
Mn  0.0000  0.5000  0.0000  2 K 2.46
Mn  0.5000  0.0000  0.0000  2 K 2.46
S  0.5000  0.5000  0.5000  12 Mn 3.48

Computed properties:
Formation energy (no corrections), eV/atom: 2.24
N(E_F), states/eV/cell: 3.73

Entry from the Alexandria database: a relaxed structure of Re2AgSb (PBE-GGA).

abc: 4.8965 4.8965 5.0822
angles: 102.93 102.93 35.47
Closest atoms and distances in Å follow each position.
Fractional positions:
Re  0.2403  0.2403  0.2694  4 Re 2.75-2.98, 3 Ag 2.76-2.85, 3 Sb 2.77-3.05
Re  0.7597  0.7597  0.7306  4 Re 2.75-2.98, 3 Ag 2.76-2.85, 3 Sb 2.77-3.05
Ag  0.0000  0.0000  0.5000  6 Re 2.76-2.85, 4 Sb 2.95, 2 Ag 2.98
Sb  0.5000  0.5000  0.0000  6 Re 2.77-3.05, 4 Ag 2.95, 2 Sb 2.98

Computed properties:
Formation energy (no corrections), eV/atom: 0.77
N(E_F), states/eV/cell: 2.82

Entry from the Alexandria database: a relaxed structure of Tl2SbBr2Cl4 (PBE-GGA).

abc: 7.3988 7.3988 7.3988
angles: 120.64 120.64 88.90
Closest atoms and distances in Å follow each position.
Fractional positions:
Tl  0.2500  0.7500  0.5000  4 Br 3.66, 8 Cl 3.70
Tl  0.7500  0.2500  0.5000  4 Br 3.66, 8 Cl 3.70
Sb  0.0000  0.0000  0.0000  4 Cl 2.54, 2 Br 2.70
Br  0.2556  0.2556  0.0000  1 Sb 2.70
Br  0.7444  0.7444  0.0000  1 Sb 2.70
Cl  0.2448  0.2448  0.4897  1 Sb 2.54
Cl  0.2448  0.7552  0.0000  1 Sb 2.54
Cl  0.7552  0.2448  0.0000  1 Sb 2.54
Cl  0.7552  0.7552  0.5103  1 Sb 2.54

Computed properties:
Formation energy (no corrections), eV/atom: -0.80
N(E_F), states/eV/cell: 3.77

Entry from the Alexandria database: a relaxed structure of InHF (PBE-GGA).

abc: 3.9934 5.8524 5.9447
angles: 118.24 90.10 108.59
Closest atoms and distances in Å follow each position.
Fractional positions:
In  0.0000  0.0000  0.0000  3 F 2.32-2.43
In  0.3688  0.7172  0.3648  3 F 2.32-2.43
H  0.0923  0.3624  0.6740  1 H 0.75
H  0.2735  0.3526  0.6893  1 H 0.75
F  0.5284  0.0582  0.8009  3 In 2.32-2.43, 1 H 2.58
F  0.8400  0.6589  0.5640  3 In 2.32-2.43, 1 H 2.58

Entry from the Alexandria database: a relaxed structure of NiPtCl (PBE-GGA).

abc: 2.8610 3.4113 11.1015
angles: 90.00 96.73 90.00
Closest atoms and distances in Å follow each position.
Fractional positions:
Ni  0.0000  0.0000  0.0000  2 Cl 2.22
Ni  0.4493  0.5000  0.8866  4 Ni 2.55, 4 Pt 2.59
Pt  0.8130  0.5000  0.5887  2 Cl 2.38, 2 Pt 2.59
Pt  0.8941  0.0000  0.7658  5 Ni 2.58-2.59, 4 Pt 2.59-2.86
Cl  0.0589  0.5000  0.1287  2 Ni 2.22
Cl  0.7441  0.0000  0.4380  2 Pt 2.38

Computed properties:
Formation energy (no corrections), eV/atom: 0.04
N(E_F), states/eV/cell: 6.12

Entry from the Alexandria database: a relaxed structure of Y4TaCu (PBE-GGA).

abc: 6.1033 6.1033 6.1033
angles: 60.00 60.00 60.00
Closest atoms and distances in Å follow each position.
Fractional positions:
Y  0.3758  0.3758  0.3758  6 Y 3.03-3.07
Y  0.3758  0.3758  0.8726  6 Y 3.03-3.07
Y  0.3758  0.8726  0.3758  6 Y 3.03-3.07
Y  0.8726  0.3758  0.3758  6 Y 3.03-3.07
Ta  0.7500  0.7500  0.7500  12 Y 3.58, 4 Cu 3.74
Cu  0.0000  0.0000  0.0000  12 Y 3.58, 4 Ta 3.74

Computed properties:
Formation energy from the elements, eV/atom: 0.926
N(E_F), states/eV/cell: 6.82

Entry from the Alexandria database: a relaxed structure of MgMnAlIr (PBE-GGA).

abc: 4.3638 4.3638 4.3638
angles: 60.00 60.00 60.00
Closest atoms and distances in Å follow each position.
Fractional positions:
Mg  0.0000  0.0000  0.0000  4 Ir 2.67, 4 Mn 2.67
Mn  0.2500  0.2500  0.2500  4 Al 2.67, 4 Mg 2.67
Al  0.5000  0.5000  0.5000  4 Ir 2.67, 4 Mn 2.67
Ir  0.7500  0.7500  0.7500  4 Mg 2.67, 4 Al 2.67

Computed properties:
Formation energy from the elements, eV/atom: -0.369
N(E_F), states/eV/cell: 1.76

Entry from the Alexandria database: a relaxed structure of TiCrTePS (PBE-GGA).

abc: 3.7880 4.0588 7.9921
angles: 80.05 89.73 62.19
Closest atoms and distances in Å follow each position.
Fractional positions:
Ti  0.0000  0.0000  0.0000  3 S 2.49-2.52, 2 P 2.61, 3 Cr 2.62-2.77
Cr  0.3709  0.2548  0.1748  3 P 2.27-2.31, 1 S 2.37
Te  0.9461  0.0991  0.4376  1 P 2.48
P  0.6886  0.6190  0.1828  3 Cr 2.27-2.31, 1 Te 2.48
S  0.2968  0.4091  0.8725  1 Cr 2.37, 3 Ti 2.49-2.52

Computed properties:
Formation energy (no corrections), eV/atom: -0.54
N(E_F), states/eV/cell: 2.52

Entry from the Alexandria database: a relaxed structure of Na3HPb (PBE-GGA).

abc: 4.8465 4.8465 4.8465
angles: 90.00 90.00 90.00
Closest atoms and distances in Å follow each position.
Fractional positions:
Na  0.0000  0.0000  0.5000  2 H 2.42
Na  0.0000  0.5000  0.0000  2 H 2.42
Na  0.5000  0.0000  0.0000  2 H 2.42
H  0.0000  0.0000  0.0000  6 Na 2.42
Pb  0.5000  0.5000  0.5000  12 Na 3.43

Computed properties:
N(E_F), states/eV/cell: 1.87

Entry from the Alexandria database: a relaxed structure of CuRuI2 (PBE-GGA).

abc: 4.8984 4.8984 4.8984
angles: 60.00 60.00 60.00
Closest atoms and distances in Å follow each position.
Fractional positions:
Cu  0.0000  0.0000  0.0000  8 I 3.00
Ru  0.5000  0.5000  0.5000  8 I 3.00
I  0.2500  0.2500  0.2500  4 Ru 3.00, 4 Cu 3.00
I  0.7500  0.7500  0.7500  4 Ru 3.00, 4 Cu 3.00

Computed properties:
Formation energy (no corrections), eV/atom: 0.88
N(E_F), states/eV/cell: 7.04

Entry from the Alexandria database: a relaxed structure of ZnCd5Ag4 (PBE-GGA).

abc: 3.4887 3.4887 15.8398
angles: 90.00 90.00 90.00
Closest atoms and distances in Å follow each position.
Fractional positions:
Zn  0.0000  0.0000  0.0000  8 Cd 2.90, 2 Ag 3.10
Cd  0.5000  0.5000  0.0960  4 Zn 2.90, 4 Ag 2.93, 2 Cd 3.04-3.18
Cd  0.5000  0.5000  0.2968  8 Ag 2.94, 2 Cd 3.18-3.22
Cd  0.5000  0.5000  0.5000  8 Ag 2.95, 2 Cd 3.22
Cd  0.5000  0.5000  0.7032  8 Ag 2.94, 2 Cd 3.18-3.22
Cd  0.5000  0.5000  0.9040  4 Zn 2.90, 4 Ag 2.93, 2 Cd 3.04-3.18
Ag  0.0000  0.0000  0.1955  8 Cd 2.93-2.94, 1 Zn 3.10, 1 Ag 3.21
Ag  0.0000  0.0000  0.3982  8 Cd 2.94-2.95, 2 Ag 3.21-3.22
Ag  0.0000  0.0000  0.6018  8 Cd 2.94-2.95, 2 Ag 3.21-3.22
Ag  0.0000  0.0000  0.8045  8 Cd 2.93-2.94, 1 Zn 3.10, 1 Ag 3.21

Computed properties:
Formation energy from the elements, eV/atom: -0.029
N(E_F), states/eV/cell: 1.29

no.,energy (eV per atom)
1,-4.319
2,-4.305
3,-7.197
4,-2.981
5,-3.759
6,-4.517
7,-6.042
8,-6.211
9,-6.584
10,-2.285
11,-3.236
12,-1.754